Zn4Si5 | GGA-PBE | relaxed

Properties
The symmetry is P6_3/mcm. As for the total energy: -3.173 eV/atom. The formation energy without anion corrections comes out at 406 meV/atom.

a = 8.1507 Å, b = 8.1507 Å, c = 5.0011 Å
α = 90.00°, β = 90.00°, γ = 120.00°
Element x y z (fractional)
Si 0.4070 0.0000 0.7500
Si 0.0000 0.4070 0.7500
Si 0.5930 0.5930 0.7500
Si 0.5930 0.0000 0.2500
Si 0.4070 0.4070 0.2500
Si 0.3333 0.6667 0.5000
Si 0.6667 0.3333 0.0000
Si 0.3333 0.6667 0.0000
Si 0.0000 0.5930 0.2500
Si 0.6667 0.3333 0.5000
Zn 0.0000 0.0000 0.5000
Zn 0.2809 0.2809 0.7500
Zn 0.7191 0.0000 0.7500
Zn 0.0000 0.2809 0.2500
Zn 0.7191 0.7191 0.2500
Zn 0.0000 0.7191 0.7500
Zn 0.2809 0.0000 0.2500
Zn 0.0000 0.0000 0.0000